This record from Alexandria via LeMat-Bulk describes crystalline TcSbIr2 at its relaxed geometry. The functional is GGA-PBEsol.

Properties
As for the symmetry: Pmm2, No. 25. The uncorrected formation energy comes out at 224.1 meV per atom. The mass density comes out at 16005 kg/m³. The value obtained for the total moment is 0.00 μB per atom.

Cell lengths 2.858, 3.765, 5.824 Å; angles 90.00, 90.00, 90.00 degrees
Fractional coordinates of all 4 atoms:
Ir 0.000 0.000 0.985
Ir 0.500 0.500 0.241
Sb 0.000 0.000 0.492
Tc 0.500 0.500 0.782